This record from the Alexandria database describes an optimized crystal structure of PmSiH. The functional is PBE.

abc: 4.6776 3.7144 3.7144
angles: 120.00 90.00 90.00
With the nearest neighbours (Å) after each atom.
Fractional positions:
H  0.1664  0.0000  0.0000  3 Pm 2.14
Si  0.6668  0.3333  0.6667  6 H 3.17, 6 Pm 3.17
Pm  0.1668  0.6667  0.3333  3 H 2.14

Values from the calculation:
energy above the most stable polymorph in this dataset: 1.413 eV/f.u.
total DFT energy (no corrections): -4.76 eV/atom
SG: P-6m2 (187)
calculated density: 5.172 g/cm3